Entry 1:
# SmGa2Co2 PBE optimized geometry
# DFT formation energy   -0.4071 eV per atom
# Total moment   0.00 μB/f.u.
data_SmGa2Co2
_chemical_formula_sum 'Sm2 Ga4 Co4'
_cell_length_a 4.098
_cell_length_b 4.098
_cell_length_c 9.936
_cell_angle_alpha 90.00
_cell_angle_beta 90.00
_cell_angle_gamma 90.00
_space_group_name_H-M_alt 'I 4/m m m'
_space_group_IT_number 139
_space_group_name_Hall '-I 4 2'
loop_
_atom_site_label
_atom_site_type_symbol
_atom_site_fract_x
_atom_site_fract_y
_atom_site_fract_z
Sm1 Sm 0.000 0.000 0.000
Ga1 Ga 0.000 0.000 0.367
Co1 Co 0.000 0.500 0.250

Entry 2:
# V2ZnCl PBE optimized geometry
# Polymorph energy (0 for the lowest one)   0.0 meV per atom
# Formation energy from raw total energies   526 meV per atom
# Total moment   0.00 μB/f.u.
data_V2ZnCl
_chemical_formula_sum 'V8 Zn4 Cl4'
_cell_length_a 3.706
_cell_length_b 3.706
_cell_length_c 18.287
_cell_angle_alpha 90.00
_cell_angle_beta 90.00
_cell_angle_gamma 90.00
_space_group_name_H-M_alt 'I -4 2 d'
_space_group_IT_number 122
_space_group_name_Hall 'I -4 2bw'
loop_
_atom_site_label
_atom_site_type_symbol
_atom_site_fract_x
_atom_site_fract_y
_atom_site_fract_z
V1 V 0.245 0.250 0.125
Zn1 Zn 0.000 0.000 0.000
Cl1 Cl 0.000 0.000 0.500

Entry 3:
# Ba2HgSb PBE optimized geometry
# Polymorph energy (0 for the lowest one)   418.9 meV per atom
# Formation energy from raw total energies   -384 meV per atom
# Total moment   0.00 μB/f.u.
data_Ba2HgSb
_chemical_formula_sum 'Ba8 Hg4 Sb4'
_cell_length_a 8.383
_cell_length_b 8.383
_cell_length_c 8.383
_cell_angle_alpha 90.00
_cell_angle_beta 90.00
_cell_angle_gamma 90.00
_space_group_name_H-M_alt 'F -4 3 m'
_space_group_IT_number 216
_space_group_name_Hall 'F -4 2 3'
loop_
_atom_site_label
_atom_site_type_symbol
_atom_site_fract_x
_atom_site_fract_y
_atom_site_fract_z
Ba1 Ba 0.000 0.000 0.000
Ba2 Ba 0.250 0.250 0.250
Hg1 Hg 0.000 0.000 0.500
Sb1 Sb 0.250 0.250 0.750

Entry 4:
# FeAuCl PBE optimized geometry
# Polymorph energy (0 for the lowest one)   66.9 meV per atom
# Formation energy from raw total energies   28 meV per atom
# Total moment   3.51 μB/f.u.
data_FeAuCl
_chemical_formula_sum 'Fe2 Au2 Cl2'
_cell_length_a 2.965
_cell_length_b 2.965
_cell_length_c 13.310
_cell_angle_alpha 90.00
_cell_angle_beta 90.00
_cell_angle_gamma 90.00
_space_group_name_H-M_alt 'I 4 m m'
_space_group_IT_number 107
_space_group_name_Hall 'I 4 -2'
loop_
_atom_site_label
_atom_site_type_symbol
_atom_site_fract_x
_atom_site_fract_y
_atom_site_fract_z
Fe1 Fe 0.000 0.000 0.000
Au1 Au 0.000 0.000 0.365
Cl1 Cl 0.000 0.000 0.609

Entry 5:
# BaMoCl6 PBE optimized geometry
# Formation energy from raw total energies   -1433 meV per atom
# Total moment   2.00 μB/f.u.
data_BaMoCl6
_chemical_formula_sum 'Ba2 Mo2 Cl12'
_cell_length_a 7.702
_cell_length_b 10.226
_cell_length_c 6.047
_cell_angle_alpha 90.00
_cell_angle_beta 107.08
_cell_angle_gamma 90.00
_space_group_name_H-M_alt 'C 1 2/m 1'
_space_group_IT_number 12
_space_group_name_Hall '-C 2y'
loop_
_atom_site_label
_atom_site_type_symbol
_atom_site_fract_x
_atom_site_fract_y
_atom_site_fract_z
Ba1 Ba 0.000 0.000 0.000
Mo1 Mo 0.000 0.500 0.500
Cl1 Cl 0.125 0.336 0.783
Cl2 Cl 0.219 0.000 0.596

Entry 6:
# Sm2Co2B3 PBE optimized geometry
# DFT formation energy   -0.2181 eV per atom
# Total moment   0.00 μB/f.u.
data_Sm2Co2B3
_chemical_formula_sum 'Sm4 Co4 B6'
_cell_length_a 9.720
_cell_length_b 3.839
_cell_length_c 6.008
_cell_angle_alpha 90.00
_cell_angle_beta 115.38
_cell_angle_gamma 90.00
_space_group_name_H-M_alt 'C 1 2/m 1'
_space_group_IT_number 12
_space_group_name_Hall '-C 2y'
loop_
_atom_site_label
_atom_site_type_symbol
_atom_site_fract_x
_atom_site_fract_y
_atom_site_fract_z
Sm1 Sm 0.109 0.000 0.296
Co1 Co 0.210 0.000 0.864
B1 B 0.000 0.500 0.500
B2 B 0.128 0.500 0.790